DFT (PBE) results for a geometry-optimized MnCuOs2 structure.

E = -8.460 eV/atom
Energy relative to the elements = 1.9 eV/f.u.
Total magnetization = 2.9 μB per formula unit
ΔE to the lowest computed polymorph = 1.25 eV per formula unit

a = 2.6525 Å, b = 2.6525 Å, c = 8.8415 Å
α = 90.00°, β = 90.00°, γ = 116.45°
Sites, in units of the cell vectors:
1 Os 0.5000 0.5000 0.2524
2 Os 0.0000 0.0000 0.9902
3 Cu 0.0000 0.0000 0.5090
4 Mn 0.5000 0.5000 0.7484